This record from Alexandria describes an optimized crystal structure of LiAc4V3O12. The functional is PBE with a Hubbard U.

extended XYZ file:
```
20
Lattice="6.9015 0.0000 0.0000 -2.3005 6.5068 0.0000 -2.3005 -3.2534 5.6350" Properties=species:S:1:pos:R:3 pbc="T T T"
Ac 1.1502 1.6267 2.8175
O -1.1502 0.8133 4.2263
O 3.4507 0.0000 2.8175
O 1.1502 4.0667 1.4088
O 1.2044 -0.8516 1.4751
O 1.2044 1.7033 0.0000
O -1.1502 3.2534 2.8175
V 2.3005 -1.6267 2.8175
O 3.3966 -2.4017 4.1599
O -3.3966 2.4017 4.1599
Li 0.0000 0.0000 0.0000
Ac -1.1502 -1.6267 2.8175
Ac -1.1502 3.2534 0.0000
Ac 3.4507 0.0000 0.0000
O 3.4507 2.4400 1.4088
O -1.2044 0.8516 1.4751
O 3.3966 4.8035 0.0000
O 1.1502 -0.8133 4.2263
V -2.3005 1.6267 2.8175
V 2.3005 3.2534 0.0000
```

Output
Size of the total moment   4.0 μB per formula unit
Crystal system   cubic
E_tot   -7.7723 eV per atom